DFT (PBE) results for LaHoAgPd after structural relaxation.

Structure (POSCAR):
```
LaHoAgPd
1.0
5.177 0.000 0.000
2.588 4.483 0.000
2.588 1.494 4.227
La Ag Ho Pd
1 1 1 1
direct
0.000 0.000 0.000
0.750 0.750 0.750
0.500 0.500 0.500
0.250 0.250 0.250
```

Computed properties:
Formation energy from the elements (eV/f.u.): -2.13
DFT total energy (eV/atom): -4.9189
M_tot (μB/f.u.): 0.0
Mass density (kg/m³): 8771
DOS at the Fermi energy (states/eV/atom): 0.574